[1]
Here is SrYOs2 at its PBEsol-relaxed geometry from Alexandria. Energies are from meta-GGA SCAN. Values from VASP.

Results
Space-group type: No. 123
Relative energy among the computed polymorphs: 0.1062 eV per atom
Energy of formation: 0.511 eV/atom

```
&SYSTEM
  ibrav = 0, nat = 4, ntyp = 3
/
ATOMIC_SPECIES
Os 190.23 Os.upf
Sr 87.62 Sr.upf
Y 88.91 Y.upf
ATOMIC_POSITIONS angstrom
Os -0.6376 4.5208 0.7358
Os -0.2895 2.0527 0.3341
Sr -2.5600 -0.3850 0.1471
Y -3.0235 2.9018 0.6821
CELL_PARAMETERS angstrom
-2.7650 0.0020 -2.4085
-2.3549 -0.7720 2.7028
-0.9271 6.5735 1.0699
```

[2]
Here is Hf2SbAs2 at its PBEsol-relaxed geometry from Alexandria. Energies are from meta-GGA SCAN. Values from VASP.

Results
Space-group type: No. 127
Formation energy (no corrections): -0.692 eV per atom

```
&SYSTEM
  ibrav = 0, nat = 10, ntyp = 3
/
ATOMIC_SPECIES
Sb 121.76 Sb.upf
As 74.92 As.upf
Hf 178.49 Hf.upf
ATOMIC_POSITIONS angstrom
Sb 0.0000 0.0000 0.0000
Sb 0.0000 3.7969 3.7969
As 1.7175 1.0489 4.8458
As 1.7175 4.8458 6.5449
As 1.7175 6.5449 2.7480
As 1.7175 2.7480 1.0489
Hf 0.0000 2.6375 6.4343
Hf 0.0000 6.4343 4.9563
Hf 0.0000 4.9563 1.1594
Hf 0.0000 1.1594 2.6375
CELL_PARAMETERS angstrom
3.4349 0.0000 0.0000
0.0000 7.5938 0.0000
0.0000 0.0000 7.5938
```

[3]
Here is TiFeTe2 at its PBEsol-relaxed geometry from Alexandria. Energies are from meta-GGA SCAN. Values from VASP.

Results
Space-group type: No. 122
Formation energy (no corrections): -0.095 eV per atom

```
&SYSTEM
  ibrav = 0, nat = 8, ntyp = 3
/
ATOMIC_SPECIES
Te 127.60 Te.upf
Fe 55.84 Fe.upf
Ti 47.87 Ti.upf
ATOMIC_POSITIONS angstrom
Te 1.3846 4.4974 1.5227
Te 4.6118 1.4991 1.5227
Te -1.4991 -1.6136 4.5680
Te 1.4991 1.6136 4.5680
Fe 0.0000 2.9982 3.0453
Fe 0.0000 0.0000 0.0000
Ti 2.9982 0.0000 3.0453
Ti 2.9982 2.9982 0.0000
CELL_PARAMETERS angstrom
5.9965 0.0000 0.0000
0.0000 5.9965 0.0000
-2.9982 -2.9982 6.0907
```

[4]
Here is Tl2AgCl at its PBEsol-relaxed geometry from Alexandria. Energies are from meta-GGA SCAN. Values from VASP.

Results
Space-group type: No. 47
Relative energy among the computed polymorphs: 0.0000 eV per atom
Formation energy (no corrections): -0.268 eV per atom

```
&SYSTEM
  ibrav = 0, nat = 4, ntyp = 3
/
ATOMIC_SPECIES
Tl 204.38 Tl.upf
Ag 107.87 Ag.upf
Cl 35.45 Cl.upf
ATOMIC_POSITIONS angstrom
Tl 0.0000 3.5774 5.3987
Tl 0.0000 -0.0209 1.9419
Ag 1.8097 1.7783 3.6703
Cl 1.8097 1.8191 0.0209
CELL_PARAMETERS angstrom
3.6194 0.0000 0.0000
0.0000 3.6381 0.0418
0.0000 -0.0816 7.2988
```

[5]
Here is RuCl3 at its PBEsol-relaxed geometry from Alexandria. Energies are from meta-GGA SCAN. Values from VASP.

Results
Space-group type: No. 221
Formation energy (no corrections): -0.311 eV per atom

```
&SYSTEM
  ibrav = 0, nat = 4, ntyp = 2
/
ATOMIC_SPECIES
Ru 101.07 Ru.upf
Cl 35.45 Cl.upf
ATOMIC_POSITIONS angstrom
Ru 0.0000 0.0000 0.0000
Cl -1.2286 -1.9919 0.2111
Cl 0.7608 -0.2350 2.2108
Cl -1.8530 1.2242 0.7678
CELL_PARAMETERS angstrom
-2.4571 -3.9838 0.4221
1.5216 -0.4699 4.4216
-3.7059 2.4485 1.5355
```

[6]
Here is FeRe2Rh at its PBEsol-relaxed geometry from Alexandria. Energies are from meta-GGA SCAN. Values from VASP.

Results
Space-group type: No. 25
Relative energy among the computed polymorphs: 0.0000 eV per atom
Energy of formation: 0.002 eV/atom

```
&SYSTEM
  ibrav = 0, nat = 4, ntyp = 3
/
ATOMIC_SPECIES
Fe 55.84 Fe.upf
Re 186.21 Re.upf
Rh 102.91 Rh.upf
ATOMIC_POSITIONS angstrom
Fe 1.3271 1.8877 4.0221
Re 0.0000 0.0000 5.2616
Re 1.3271 1.8877 1.3588
Rh 0.0000 0.0000 2.7127
CELL_PARAMETERS angstrom
2.6541 0.0000 0.0000
0.0000 3.7755 0.0000
0.0000 0.0000 5.3421
```

[7]
Here is Si2AsOs at its PBEsol-relaxed geometry from Alexandria. Energies are from meta-GGA SCAN. Values from VASP.

Results
Space-group type: No. 8
Formation energy (no corrections): 0.067 eV per atom

```
&SYSTEM
  ibrav = 0, nat = 4, ntyp = 3
/
ATOMIC_SPECIES
As 74.92 As.upf
Os 190.23 Os.upf
Si 28.09 Si.upf
ATOMIC_POSITIONS angstrom
As 0.0000 2.6775 2.7119
Os 1.4556 2.2690 0.6358
Si 0.0000 0.3860 0.6725
Si 0.0000 0.5673 4.0158
CELL_PARAMETERS angstrom
2.9112 0.0000 0.0000
-1.4556 4.2600 -0.0103
0.0000 -1.7468 5.3710
```

[8]
Here is Ti8C5 at its PBEsol-relaxed geometry from Alexandria. Energies are from meta-GGA SCAN. Values from VASP.

Results
Space-group type: No. 166
Energy of formation: -0.798 eV/atom

```
&SYSTEM
  ibrav = 0, nat = 13, ntyp = 2
/
ATOMIC_SPECIES
Ti 47.87 Ti.upf
C 12.01 C.upf
ATOMIC_POSITIONS angstrom
Ti 1.5318 0.8844 1.1845
Ti 3.0637 1.7688 6.0860
Ti 1.5318 0.8844 15.6156
Ti 4.5955 2.6532 10.8373
Ti 4.5955 2.6532 3.5670
Ti 1.5318 0.8844 8.3453
Ti 4.5955 2.6532 17.9982
Ti 3.0637 1.7688 13.0966
C 3.0637 1.7688 2.5124
C 4.5955 2.6532 7.2147
C 3.0637 1.7688 16.6703
C 1.5318 0.8844 11.9679
C 0.0000 0.0000 0.0000
CELL_PARAMETERS angstrom
3.0637 0.0000 0.0000
1.5318 2.6532 0.0000
1.5318 0.8844 19.1826
```

[9]
Here is Be2Pt3 at its PBEsol-relaxed geometry from Alexandria. Energies are from meta-GGA SCAN. Values from VASP.

Results
Space-group type: No. 164
Energy of formation: -0.810 eV/atom

```
&SYSTEM
  ibrav = 0, nat = 5, ntyp = 2
/
ATOMIC_SPECIES
Be 9.01 Be.upf
Pt 195.08 Pt.upf
ATOMIC_POSITIONS angstrom
Be 0.0000 2.2344 3.9742
Be 1.9351 1.1172 0.8557
Pt 0.0000 0.0000 0.0000
Pt 0.0000 2.2344 1.6196
Pt 1.9351 1.1172 3.2103
CELL_PARAMETERS angstrom
3.8702 0.0000 0.0000
-1.9351 3.3517 0.0000
0.0000 0.0000 4.8299
```

[10]
Here is LiP3 at its PBEsol-relaxed geometry from Alexandria. Energies are from meta-GGA SCAN. Values from VASP.

Results
Space-group type: No. 139
Relative energy among the computed polymorphs: 0.1872 eV per atom
Energy of formation: 0.348 eV/atom

```
&SYSTEM
  ibrav = 0, nat = 4, ntyp = 2
/
ATOMIC_SPECIES
P 30.97 P.upf
Li 6.94 Li.upf
ATOMIC_POSITIONS angstrom
P -2.2896 0.0090 -1.6468
P 0.3477 0.6631 -2.4023
P -0.6978 -1.9165 -1.9478
Li 0.0000 0.0000 0.0000
CELL_PARAMETERS angstrom
-1.2440 2.5885 -2.1012
1.9394 -1.2624 -2.7033
-3.6829 -3.2337 1.2100
```

[11]
Here is CsSn2HgB at its PBEsol-relaxed geometry from Alexandria. Energies are from meta-GGA SCAN. Values from VASP.

Results
Space-group type: No. 123
Energy of formation: 0.553 eV/atom

```
&SYSTEM
  ibrav = 0, nat = 5, ntyp = 4
/
ATOMIC_SPECIES
Cs 132.91 Cs.upf
B 10.81 B.upf
Hg 200.59 Hg.upf
Sn 118.71 Sn.upf
ATOMIC_POSITIONS angstrom
Cs 2.2523 0.3661 2.4129
B 0.0000 0.0000 0.0000
Hg 0.4927 -1.7175 4.3715
Sn -0.0149 -2.3452 0.3698
Sn -1.7447 0.2616 1.5889
CELL_PARAMETERS angstrom
-3.4893 0.5233 3.1778
-0.0299 -4.6904 0.7395
4.5047 0.7322 4.8257
```

[12]
Here is HoMgNi2O6 at its PBEsol-relaxed geometry from Alexandria. Energies are from meta-GGA SCAN. Values from VASP.

Results
Space-group type: No. 31
Formation energy (no corrections): -2.173 eV per atom

```
&SYSTEM
  ibrav = 0, nat = 20, ntyp = 4
/
ATOMIC_SPECIES
Ho 164.93 Ho.upf
Mg 24.30 Mg.upf
Ni 58.69 Ni.upf
O 16.00 O.upf
ATOMIC_POSITIONS angstrom
Ho -4.9802 -0.7420 -1.2509
Ho -3.9694 -2.5691 3.0277
Mg -3.4330 -3.7493 -0.4208
Mg -1.2672 -0.4170 3.4679
Ni -2.2839 -3.1889 5.4516
Ni -1.3485 -3.6586 2.0060
Ni -3.1143 -0.5555 1.1121
Ni -4.0455 -0.0878 4.5420
O -6.0819 -2.8128 2.4874
O -5.2974 1.3248 4.4885
O -4.1281 0.7376 0.1815
O -5.3774 -1.4753 4.7905
O -4.2370 -2.0480 0.5898
O -4.2150 -0.3718 2.6614
O -2.1019 -0.6524 -0.4817
O -3.0823 -4.3987 2.1152
O -3.7796 -4.0485 4.6837
O -2.6839 -1.4528 4.6854
O -1.9577 -1.8175 2.0105
O -1.4418 -3.6020 0.0997
CELL_PARAMETERS angstrom
-4.7043 0.9468 -1.4062
-1.1553 -5.1607 0.3900
-1.8666 0.9374 6.8755
```